Material: CdRePt2
Method: DFT, PBE
State: optimized geometry

Summary:
Energy relative to the elements   7.66 kcal/mol of atoms
Total magnetic moment   2.1 μB per cell

Unit cell a=4.0801 b=4.0801 c=3.9711 alpha=90.00 beta=90.00 gamma=90.00
Last column: nearest neighbours and their distance in Å.
Positions (direct):
Cd: 0.0000 0.0000 0.0000  8 Pt 2.85, 4 Re 2.89
Re: 0.5000 0.5000 0.0000  8 Pt 2.85, 4 Cd 2.89
Pt: 0.0000 0.5000 0.5000  4 Cd 2.85, 4 Re 2.85, 4 Pt 2.89
Pt: 0.5000 0.0000 0.5000  4 Cd 2.85, 4 Re 2.85, 4 Pt 2.89